Record 1
Entry from Alexandria via LeMat-Bulk: crystalline CaNb3V at its relaxed geometry (PBE).

The structure belongs to space group Pm-3m (No. 221); the cell edges are 4.748, 4.748 and 4.748 Å and the angles 90.00°, 90.00° and 90.00°. The asymmetric unit holds Ca at (0.000, 0.000, 0.000), Nb at (0.000, 0.000, 0.500) and V at (0.500, 0.500, 0.500).



Record 2
Entry from Alexandria via LeMat-Bulk: crystalline CaNbW2 at its relaxed geometry (PBE).

The structure belongs to space group Fm-3m (No. 225); the cell edges are 6.688, 6.688 and 6.688 Å and the angles 90.00°, 90.00° and 90.00°. The asymmetric unit holds Ca at (0.000, 0.000, 0.000), Nb at (0.000, 0.000, 0.500) and W at (0.250, 0.250, 0.250).



Record 3
Entry from Alexandria via LeMat-Bulk: crystalline CaNbW2 at its relaxed geometry (PBE).

The structure belongs to space group I-42d (No. 122); the cell edges are 7.652, 7.652 and 5.679 Å and the angles 90.00°, 90.00° and 90.00°. The asymmetric unit holds Ca at (0.000, 0.000, 0.000), Nb at (0.000, 0.000, 0.500) and W at (0.214, 0.750, 0.625).



Record 4
Entry from Alexandria via LeMat-Bulk: crystalline Ca2YNbW at its relaxed geometry (PBE).

The structure belongs to space group P4/mmm (No. 123); the cell edges are 5.684, 5.684 and 4.818 Å and the angles 90.00°, 90.00° and 90.00°. The asymmetric unit holds Ca at (0.000, 0.500, 0.000), Y at (0.000, 0.000, 0.500), Nb at (0.500, 0.500, 0.500) and W at (0.500, 0.500, 0.000).



Record 5
Entry from Alexandria via LeMat-Bulk: crystalline CaYNb2 at its relaxed geometry (PBE).

The structure belongs to space group I-42d (No. 122); the cell edges are 8.184, 8.184 and 5.913 Å and the angles 90.00°, 90.00° and 90.00°. The asymmetric unit holds Ca at (0.000, 0.000, 0.000), Y at (0.000, 0.000, 0.500) and Nb at (0.249, 0.250, 0.125).



Record 6
Entry from Alexandria via LeMat-Bulk: crystalline CaYNb2 at its relaxed geometry (PBE).

The structure belongs to space group Fm-3m (No. 225); the cell edges are 7.269, 7.269 and 7.269 Å and the angles 90.00°, 90.00° and 90.00°. The asymmetric unit holds Ca at (0.000, 0.000, 0.000), Y at (0.000, 0.000, 0.500) and Nb at (0.250, 0.250, 0.250).



How do the records compare in E_tot? In the order shown, they have -5.92; -8.58; -8.15; -5.72; -6.08; -6.31 eV per atom.
How do the records compare in calculated formation energy? In the order shown, they have 11.74; 3.64; 5.37; 4.91; 4.29; 3.37 eV per formula unit.